Here is crystalline UAlB3 at its relaxed geometry from OQMD via LeMat-Bulk. Energies are from PBE.

Unit cell a=3.9688 b=3.9688 c=3.9688 alpha=90.00 beta=90.00 gamma=90.00
Closest atoms and distances in Å follow each position.
Atoms (fractional coordinates):
U  0.0000  0.0000  0.0000  12 B 2.81
Al  0.5000  0.5000  0.5000  6 B 1.98
B  0.0000  0.5000  0.5000  2 Al 1.98
B  0.5000  0.0000  0.5000  2 Al 1.98
B  0.5000  0.5000  0.0000  2 Al 1.98

## Properties
symmetry	Pm-3m (221)
mass density	7.90	g/cm³
magnetization	0.07	μB/f.u.
VASP energy	-6.238	eV/atom



Here is crystalline AlB2W2 at its relaxed geometry from OQMD via LeMat-Bulk. Energies are from PBE.

Unit cell a=5.9861 b=5.9861 c=3.1415 alpha=90.00 beta=90.00 gamma=150.07
Closest atoms and distances in Å follow each position.
Atoms (fractional coordinates):
Al  0.0000  0.0000  0.0000  2 B 2.38
B  0.2057  0.7943  0.0000  2 B 1.85
B  0.7943  0.2057  0.0000  2 B 1.85
W  0.3570  0.6430  0.5000  6 B 2.32-2.35
W  0.6430  0.3570  0.5000  6 B 2.32-2.35

## Properties
symmetry	Cmmm (65)
mass density	12.31	g/cm³
magnetization	0.00	μB/f.u.
VASP energy	-8.883	eV/atom



Here is crystalline AlBW at its relaxed geometry from OQMD via LeMat-Bulk. Energies are from PBE.

Unit cell a=4.0028 b=4.0028 c=4.0028 alpha=60.00 beta=60.00 gamma=60.00
Closest atoms and distances in Å follow each position.
Atoms (fractional coordinates):
Al  0.0000  0.0000  0.0000  4 W 2.45
B  0.5000  0.5000  0.5000  4 W 2.45
W  0.2500  0.2500  0.2500  4 B 2.45, 4 Al 2.45

## Properties
symmetry	F-43m (216)
mass density	8.12	g/cm³
magnetization	0.02	μB/f.u.
VASP energy	-6.565	eV/atom